4
Lattice="0.000 3.254 3.254 3.254 0.000 3.254 3.254 3.254 0.000" Properties=species:S:1:pos:R:3 comment="YAlFeOs | OQMD | PBE | optimized geometry" density_g_cm3=8.7 dft_energy_ev_per_atom=-7.23 m_tot_mub_per_cell=3.67 de_polymorph_ev_per_atom=0.190 pbc="T T T"
Al 0.000 0.000 0.000
Fe 4.881 4.881 4.881
Os 3.254 3.254 3.254
Y 1.627 1.627 1.627